# NdDy3Y2P6 | the Alexandria database | PBE | relaxed
data_NdDy3Y2P6
_cell_length_a 6.992
_cell_length_b 6.992
_cell_length_c 6.994
_cell_angle_alpha 99.59
_cell_angle_beta 99.59
_cell_angle_gamma 119.99
_symmetry_space_group_name_H-M 'P 1'
_symmetry_Int_Tables_number 1
loop_
_symmetry_equiv_pos_as_xyz
'x,y,z'
loop_
_atom_site_label
_atom_site_fract_x
_atom_site_fract_y
_atom_site_fract_z
Nd1 0.000 0.000 0.000
Dy1 0.166 0.834 0.500
Dy2 0.500 0.500 0.500
Dy3 0.834 0.166 0.500
Y1 0.333 0.667 0.000
Y2 0.667 0.333 0.000
P1 0.085 0.423 0.254
P2 0.254 0.254 0.747
P3 0.423 0.085 0.254
P4 0.577 0.915 0.746
P5 0.746 0.746 0.253
P6 0.915 0.577 0.746
# Calculated formation energy: -1.600 eV/atom